Entry 1:
Crystalline SrPmPr2 at its relaxed geometry, computed with PBE.

Lattice parameters (Å, degrees): 5.3665 5.3665 5.3409 90.00 90.00 90.00
Space group P4/mmm (No. 123)
Symmetry-distinct sites (fractional):
Sr  0.0000  0.0000  0.0000 [1 per cell]
Pm  0.5000  0.5000  0.0000 [1 per cell]
Pr  0.0000  0.5000  0.5000 [2 per cell]

## Properties
excess energy over the best structure of this formula in the dataset = 0.066 eV per atom
formation enthalpy at 0 K = 0.141 eV per atom
mass density = 5.6 g/cm3
total magnetization = 0.0 μB/f.u.
calculated volume = 38.45 Å³ per atom

=====

Entry 2:
Crystalline Tb5Tm4Tl2 at its relaxed geometry, computed with PBE.

Lattice parameters (Å, degrees): 5.2070 5.2070 46.5726 90.00 90.00 120.00
Space group R-3m (No. 166, hexagonal axes)
Symmetry-distinct sites (fractional):
Tb  0.0000  0.0000  0.0000 [3 per cell]
Tb  0.0000  0.0000  0.1482 [6 per cell]
Tb  0.0000  0.0000  0.3012 [6 per cell]
Tm  0.0000  0.0000  0.0737 [6 per cell]
Tm  0.0000  0.0000  0.2254 [6 per cell]
Tl  0.0000  0.0000  0.3841 [6 per cell]

## Properties
formation enthalpy at 0 K = 0.263 eV per atom
mass density = 8.6 g/cm3
total magnetization = 0.0 μB/f.u.
calculated volume = 33.14 Å³ per atom

=====

Entry 3:
Crystalline K2SnSbO at its relaxed geometry, computed with PBE.

Lattice parameters (Å, degrees): 7.7481 4.2860 9.8479 90.00 109.68 90.00
Space group P2_1/m (No. 11)
Symmetry-distinct sites (fractional):
K  0.1333  0.2500  0.4392 [2 per cell]
K  0.2438  0.2500  0.8525 [2 per cell]
Sn  0.4940  0.7500  0.6636 [2 per cell]
Sb  0.2844  0.7500  0.1722 [2 per cell]
O  0.2266  0.7500  0.6481 [2 per cell]

## Properties
formation energy (no corrections) = -0.79 eV per atom
mass density = 3.6 g/cm3
total magnetization = 0.0 μB/f.u.
calculated volume = 30.79 Å³ per atom

=====

| no. | total energy (eV/atom) |
| --- | --- |
| 1 | -3.86 |
| 2 | -3.90 |
| 3 | -3.84 |